(1)
The following is a DFT calculation (PBE) of a geometry-optimized MgTlCoOs structure.

The structure in POSCAR format:
```
MgTlCoOs
1.0
0.000 3.176 3.176
3.176 0.000 3.176
3.176 3.176 0.000
Mg Tl Co Os
1 1 1 1
Direct
0.000 0.000 0.000 Mg
0.250 0.250 0.250 Tl
0.500 0.500 0.500 Co
0.750 0.750 0.750 Os
```

The space group is F-43m, No. 216. The calculation puts the total energy at -4.98 eV per atom. As for the spin magnetization: 2.59 μB per cell. The value obtained for the energy above the most stable polymorph in this dataset is 0 meV per atom.



(2)
The following is a DFT calculation (PBE) of a geometry-optimized Mg3Co2P2 structure.

The structure in POSCAR format:
```
Mg3Co2P2
1.0
1.847 -4.747 0.000
1.847 4.747 0.000
0.000 0.000 11.683
Mg Co P
6 4 4
Direct
0.012 0.988 0.750 Mg
0.279 0.721 0.104 Mg
0.279 0.721 0.396 Mg
0.721 0.279 0.604 Mg
0.721 0.279 0.896 Mg
0.988 0.012 0.250 Mg
0.433 0.567 0.588 Co
0.433 0.567 0.912 Co
0.567 0.433 0.088 Co
0.567 0.433 0.412 Co
0.000 0.000 0.000 P
0.000 0.000 0.500 P
0.304 0.696 0.750 P
0.696 0.304 0.250 P
```

The space group is Cmcm, No. 63. The calculation puts the total energy at -4.77 eV per atom. As for the spin magnetization: 0.01 μB per cell.



(3)
The following is a DFT calculation (PBE) of a geometry-optimized Mg2Co3P structure.

The structure in POSCAR format:
```
Mg2Co3P
1.0
4.930 0.000 0.000
-2.465 4.269 0.000
0.000 0.000 7.175
Mg Co P
4 6 2
Direct
0.333 0.667 0.064 Mg
0.333 0.667 0.436 Mg
0.667 0.333 0.564 Mg
0.667 0.333 0.936 Mg
0.169 0.338 0.750 Co
0.169 0.831 0.750 Co
0.338 0.169 0.250 Co
0.662 0.831 0.750 Co
0.831 0.169 0.250 Co
0.831 0.662 0.250 Co
0.000 0.000 0.000 P
0.000 0.000 0.500 P
```

The space group is P6_3/mmc, No. 194. The calculation puts the total energy at -5.28 eV per atom. As for the spin magnetization: 2.01 μB per cell.



(4)
The following is a DFT calculation (PBE) of a geometry-optimized MgCo3P structure.

The structure in POSCAR format:
```
MgCo3P
1.0
4.097 0.000 0.000
0.000 4.097 0.000
0.000 0.000 4.097
Mg Co P
1 3 1
Direct
0.000 0.000 0.000 Mg
0.000 0.500 0.500 Co
0.500 0.000 0.500 Co
0.500 0.500 0.000 Co
0.500 0.500 0.500 P
```

The space group is Pm-3m, No. 221. The calculation puts the total energy at -5.65 eV per atom. As for the spin magnetization: 2.31 μB per cell.



(5)
The following is a DFT calculation (PBE) of a geometry-optimized Mg2CoSiP4 structure.

The structure in POSCAR format:
```
Mg2CoSiP4
1.0
-2.777 2.777 5.293
2.777 -2.777 5.293
2.777 2.777 -5.293
Mg Co Si P
2 1 1 4
Direct
0.000 0.000 0.000 Mg
0.750 0.250 0.500 Mg
0.500 0.500 0.000 Co
0.250 0.750 0.500 Si
0.183 0.139 0.567 P
0.384 0.817 0.955 P
0.572 0.616 0.433 P
0.861 0.428 0.045 P
```

The space group is I-4, No. 82. The calculation puts the total energy at -4.88 eV per atom. As for the spin magnetization: 0.00 μB per cell.



(6)
The following is a DFT calculation (PBE) of a geometry-optimized MgCoPtPb structure.

The structure in POSCAR format:
```
MgCoPtPb
1.0
0.000 3.246 3.246
3.246 0.000 3.246
3.246 3.246 0.000
Mg Co Pt Pb
1 1 1 1
Direct
0.000 0.000 0.000 Mg
0.750 0.750 0.750 Co
0.250 0.250 0.250 Pt
0.500 0.500 0.500 Pb
```

The space group is F-43m, No. 216. The calculation puts the total energy at -4.66 eV per atom. As for the spin magnetization: 1.36 μB per cell. The value obtained for the energy above the most stable polymorph in this dataset is 0 meV per atom.



(7)
The following is a DFT calculation (PBE) of a geometry-optimized MgScCoPb structure.

The structure in POSCAR format:
```
MgScCoPb
1.0
0.000 3.380 3.380
3.380 0.000 3.380
3.380 3.380 0.000
Mg Sc Co Pb
1 1 1 1
Direct
0.000 0.000 0.000 Mg
0.500 0.500 0.500 Sc
0.750 0.750 0.750 Co
0.250 0.250 0.250 Pb
```

The space group is F-43m, No. 216. The calculation puts the total energy at -4.67 eV per atom. As for the spin magnetization: 0.96 μB per cell. The value obtained for the energy above the most stable polymorph in this dataset is 18 meV per atom.



(8)
The following is a DFT calculation (PBE) of a geometry-optimized MgScCoPb structure.

The structure in POSCAR format:
```
MgScCoPb
1.0
0.000 3.328 3.328
3.328 0.000 3.328
3.328 3.328 0.000
Mg Sc Co Pb
1 1 1 1
Direct
0.000 0.000 0.000 Mg
0.250 0.250 0.250 Sc
0.750 0.750 0.750 Co
0.500 0.500 0.500 Pb
```

The space group is F-43m, No. 216. The calculation puts the total energy at -4.63 eV per atom. As for the spin magnetization: 0.12 μB per cell. The value obtained for the energy above the most stable polymorph in this dataset is 51 meV per atom.